LiLa3Al2O8 PBE-GGA relaxed; E_form (uncorrected) = -42.566 eV per formula unit
1.0
-4.962 0.967 -2.213
4.158 -1.720 -3.194
-1.806 -6.560 1.182
Li La O Al
1 3 8 2
direct
0.000 0.000 0.500 Li
0.000 0.000 0.000 La
0.333 0.667 0.636 La
0.667 0.333 0.364 La
0.167 0.833 0.305 O
0.833 0.167 0.695 O
0.167 0.333 0.305 O
0.333 0.167 0.695 O
0.833 0.667 0.695 O
0.333 0.667 0.949 O
0.667 0.333 0.051 O
0.667 0.833 0.305 O
0.667 0.333 0.801 Al
0.333 0.667 0.199 Al


CoSeN PBE-GGA relaxed; E_form (uncorrected) = -0.533 eV per formula unit
1.0
-0.292 1.973 -3.173
2.445 -2.303 -1.656
-6.246 -9.080 0.773
Co N Se
2 2 2
direct
0.250 0.250 0.000 Co
0.750 0.750 0.000 Co
0.381 0.072 0.452 N
0.619 0.928 0.548 N
0.432 0.707 0.138 Se
0.568 0.293 0.862 Se


Y8Bi3Te4Se PBE-GGA relaxed; E_form (uncorrected) = -19.504 eV per formula unit
1.0
-0.743 6.015 6.329
-5.160 -5.423 4.549
7.930 -2.657 -2.611
Y Se Te Bi
8 1 4 3
direct
0.238 0.738 0.000 Y
0.762 0.262 0.000 Y
0.238 0.738 0.476 Y
0.750 0.750 0.500 Y
0.250 0.250 0.500 Y
0.237 0.262 0.000 Y
0.762 0.262 0.524 Y
0.763 0.738 0.000 Y
0.000 0.500 0.000 Se
0.500 0.000 0.500 Te
0.500 0.000 0.000 Te
0.000 0.000 0.000 Te
0.000 0.000 0.500 Te
0.000 0.500 0.500 Bi
0.500 0.500 0.500 Bi
0.500 0.500 0.000 Bi


NdDy6Te8 PBE-GGA relaxed; E_form (uncorrected) = -20.573 eV per formula unit; energy above the most stable polymorph in this dataset = 0.00 kcal/mol of atoms
1.0
7.524 0.000 4.344
2.508 7.094 4.344
0.000 0.000 8.688
Te Dy Nd
8 6 1
direct
0.261 0.261 0.739 Te
0.750 0.750 0.750 Te
0.739 0.261 0.261 Te
0.261 0.739 0.261 Te
0.261 0.739 0.739 Te
0.739 0.261 0.739 Te
0.250 0.250 0.250 Te
0.739 0.739 0.261 Te
0.500 0.500 0.000 Dy
0.000 0.500 0.500 Dy
0.500 0.000 0.500 Dy
0.500 0.000 0.000 Dy
0.000 0.000 0.500 Dy
0.000 0.500 0.000 Dy
0.000 0.000 0.000 Nd


B2C3 PBE-GGA relaxed; energy relative to the elements = 0.34 eV/atom; energy above the most stable polymorph in this dataset = 2.30 kcal/mol of atoms
1.0
6.954 2.827 7.319
7.152 5.647 5.184
-8.346 -3.485 -5.302
C B
6 4
direct
0.196 0.196 0.000 C
0.653 0.153 0.500 C
0.404 0.404 0.000 C
0.009 0.009 0.000 C
0.049 0.549 0.500 C
0.239 0.739 0.500 C
0.455 0.955 0.500 B
0.601 0.601 0.000 B
0.790 0.790 0.000 B
0.855 0.355 0.500 B


KSi3Os PBE-GGA relaxed; E_form (uncorrected) = 2.193 eV per formula unit; energy above the most stable polymorph in this dataset = 0.00 kcal/mol of atoms
1.0
-1.063 0.953 4.541
-4.561 -1.071 -0.842
0.853 -4.539 1.152
Si Os K
3 1 1
direct
0.000 0.000 0.500 Si
0.000 0.500 0.000 Si
0.500 0.000 0.000 Si
0.000 0.000 0.000 Os
0.500 0.500 0.500 K